# Na2AcMnF8

A relaxed structure of Na2AcMnF8 (PBE with a Hubbard U, Alexandria).

total energy	-5.541	eV/atom
D(E_F)	0.0	states/eV/f.u.

a b c (Å): 4.3484 5.4587 7.5058
angles (deg): 89.93 91.20 92.55
With the nearest neighbours (Å) after each atom.
Positions (direct):
Na  0.5213  0.5113  0.7723  6 F 2.32-2.49
Na  0.4787  0.4887  0.2277  6 F 2.32-2.49
Ac  0.0000  0.0000  0.5000  8 F 2.44-2.70
Mn  0.0000  0.0000  0.0000  4 F 1.87-1.94
F  0.1306  0.8069  0.2028  1 Mn 1.94
F  0.6516  0.7869  0.0021  1 Mn 1.87
F  0.9034  0.2447  0.2288  1 Mn 2.24, 1 Na 2.32, 1 Ac 2.47
F  0.8694  0.1931  0.7972  1 Mn 1.94
F  0.3484  0.2131  0.9979  1 Mn 1.87
F  0.0966  0.7553  0.7712  1 Mn 2.24, 1 Na 2.32, 1 Ac 2.47
F  0.5219  0.7496  0.4886  2 Na 2.42-2.49, 2 Ac 2.44-2.70
F  0.4781  0.2504  0.5114  2 Na 2.42-2.49, 2 Ac 2.44-2.70